# Li2ZrCu PBE relaxed
data_Li2ZrCu
_space_group_name_H-M_alt 'I -4 m 2'
_space_group_IT_number 119
_space_group_name_Hall 'I -4 -2'
_cell_length_a 4.487
_cell_length_b 4.487
_cell_length_c 6.359
_cell_angle_alpha 90.00
_cell_angle_beta 90.00
_cell_angle_gamma 90.00
loop_
_atom_site_label
_atom_site_type_symbol
_atom_site_fract_x
_atom_site_fract_y
_atom_site_fract_z
Li1 Li 0.000 0.000 0.000
Li2 Li 0.000 0.500 0.250
Zr1 Zr 0.000 0.000 0.500
Cu1 Cu 0.000 0.500 0.750
# Electronic total energy: -3.9691 eV per atom
# Total magnetization: 0.00 μB/f.u.
# ΔE_f: 0.149 eV/atom
# ΔE to the lowest computed polymorph: 90 meV/atom


# NiRhC PBE relaxed
data_NiRhC
_space_group_name_H-M_alt 'A m m 2'
_space_group_IT_number 38
_cell_length_a 3.045
_cell_length_b 2.708
_cell_length_c 7.520
_cell_angle_alpha 90.00
_cell_angle_beta 90.00
_cell_angle_gamma 90.00
loop_
_space_group_symop_operation_xyz
'x,y,z'
'-x,-y,z'
'-x,y,z'
'x,-y,z'
'x,y+1/2,z+1/2'
'-x,-y+1/2,z+1/2'
'-x,y+1/2,z+1/2'
'x,-y+1/2,z+1/2'
loop_
_atom_site_label
_atom_site_type_symbol
_atom_site_fract_x
_atom_site_fract_y
_atom_site_fract_z
Ni1 Ni 0.000 0.000 0.000
Rh1 Rh 0.500 0.000 0.272
C1 C 0.500 0.000 0.560
# Electronic total energy: -7.0816 eV per atom
# Total magnetization: 0.00 μB/f.u.
# ΔE_f: 0.371 eV/atom
# ΔE to the lowest computed polymorph: 59 meV/atom


# MgCd8Pd2 PBE relaxed
data_MgCd8Pd2
_space_group_name_H-M_alt 'C m m m'
_space_group_IT_number 65
_space_group_name_Hall '-C 2 2'
_cell_length_a 8.768
_cell_length_b 11.565
_cell_length_c 4.543
_cell_angle_alpha 90.00
_cell_angle_beta 90.00
_cell_angle_gamma 90.00
loop_
_atom_site_label
_atom_site_type_symbol
_atom_site_fract_x
_atom_site_fract_y
_atom_site_fract_z
Mg1 Mg 0.000 0.000 0.000
Cd1 Cd 0.000 0.252 0.000
Cd2 Cd 0.163 0.500 0.000
Cd3 Cd 0.176 0.135 0.500
Pd1 Pd 0.000 0.378 0.500
# Electronic total energy: -1.9033 eV per atom
# Total magnetization: 0.00 μB/f.u.
# ΔE_f: -0.149 eV/atom


# PPt2Cl PBE relaxed
data_PPt2Cl
_space_group_name_H-M_alt 'P 1 m 1'
_space_group_IT_number 6
_cell_length_a 3.290
_cell_length_b 3.616
_cell_length_c 6.441
_cell_angle_alpha 90.00
_cell_angle_beta 90.07
_cell_angle_gamma 90.00
loop_
_space_group_symop_operation_xyz
'x,y,z'
'x,-y,z'
loop_
_atom_site_label
_atom_site_type_symbol
_atom_site_fract_x
_atom_site_fract_y
_atom_site_fract_z
P1 P 0.000 0.000 0.000
Pt1 Pt 0.497 0.500 0.075
Pt2 Pt 0.500 0.000 0.744
Cl1 Cl 0.498 0.500 0.463
# Electronic total energy: -5.0117 eV per atom
# Total magnetization: 0.00 μB/f.u.
# ΔE to the lowest computed polymorph: 82 meV/atom
# Formation energy (no corrections): -177 meV/atom


# Cr2Cu PBE relaxed
data_Cr2Cu
_space_group_name_H-M_alt 'C 1 2/m 1'
_space_group_IT_number 12
_cell_length_a 9.836
_cell_length_b 2.362
_cell_length_c 6.247
_cell_angle_alpha 90.00
_cell_angle_beta 102.68
_cell_angle_gamma 90.00
loop_
_space_group_symop_operation_xyz
'x,y,z'
'-x,-y,-z'
'-x,y,-z'
'x,-y,z'
'x+1/2,y+1/2,z'
'-x+1/2,-y+1/2,-z'
'-x+1/2,y+1/2,-z'
'x+1/2,-y+1/2,z'
loop_
_atom_site_label
_atom_site_type_symbol
_atom_site_fract_x
_atom_site_fract_y
_atom_site_fract_z
Cr1 Cr 0.030 0.000 0.316
Cr2 Cr 0.134 0.500 0.013
Cu1 Cu 0.201 0.500 0.647
# Electronic total energy: -7.4654 eV per atom
# Total magnetization: 0.00 μB/f.u.
# ΔE_f: 0.316 eV/atom


# La3Pm2PrS6 PBE relaxed
data_La3Pm2PrS6
_space_group_name_H-M_alt 'C 1 2/m 1'
_space_group_IT_number 12
_cell_length_a 7.109
_cell_length_b 12.335
_cell_length_c 7.106
_cell_angle_alpha 90.00
_cell_angle_beta 109.56
_cell_angle_gamma 90.00
loop_
_space_group_symop_operation_xyz
'x,y,z'
'-x,-y,-z'
'-x,y,-z'
'x,-y,z'
'x+1/2,y+1/2,z'
'-x+1/2,-y+1/2,-z'
'-x+1/2,y+1/2,-z'
'x+1/2,-y+1/2,z'
loop_
_atom_site_label
_atom_site_type_symbol
_atom_site_fract_x
_atom_site_fract_y
_atom_site_fract_z
La1 La 0.000 0.000 0.000
La2 La 0.000 0.335 0.000
Pm1 Pm 0.000 0.167 0.500
Pr1 Pr 0.000 0.500 0.500
S1 S 0.244 0.000 0.743
S2 S 0.250 0.168 0.256
# Electronic total energy: -6.5922 eV per atom
# Total magnetization: 0.00 μB/f.u.
# Formation energy (no corrections): -2107 meV/atom


# SrTaFeN3 PBE relaxed
data_SrTaFeN3
_space_group_name_H-M_alt 'P 1 21/m 1'
_space_group_IT_number 11
_cell_length_a 6.999
_cell_length_b 3.212
_cell_length_c 7.623
_cell_angle_alpha 90.00
_cell_angle_beta 107.25
_cell_angle_gamma 90.00
loop_
_space_group_symop_operation_xyz
'x,y,z'
'-x,-y,-z'
'-x,y+1/2,-z'
'x,-y+1/2,z'
loop_
_atom_site_label
_atom_site_type_symbol
_atom_site_fract_x
_atom_site_fract_y
_atom_site_fract_z
Sr1 Sr 0.200 0.250 0.217
Ta1 Ta 0.333 0.750 0.858
Fe1 Fe 0.092 0.250 0.604
N1 N 0.135 0.250 0.865
N2 N 0.186 0.750 0.541
N3 N 0.451 0.750 0.142
# Electronic total energy: -8.5860 eV per atom
# Total magnetization: 0.00 μB/f.u.
# Formation energy (no corrections): -757 meV/atom


# ZrSc2O PBE relaxed
data_ZrSc2O
_space_group_name_H-M_alt 'I -4 2 d'
_space_group_IT_number 122
_space_group_name_Hall 'I -4 2bw'
_cell_length_a 6.359
_cell_length_b 6.359
_cell_length_c 8.436
_cell_angle_alpha 90.00
_cell_angle_beta 90.00
_cell_angle_gamma 90.00
loop_
_atom_site_label
_atom_site_type_symbol
_atom_site_fract_x
_atom_site_fract_y
_atom_site_fract_z
Zr1 Zr 0.000 0.000 0.000
Sc1 Sc 0.098 0.250 0.625
O1 O 0.000 0.000 0.500
# Electronic total energy: -7.7104 eV per atom
# Total magnetization: 0.00 μB/f.u.
# Formation energy (no corrections): -1168 meV/atom


# ZrIrBr2 PBE relaxed
data_ZrIrBr2
_space_group_name_H-M_alt 'C m m m'
_space_group_IT_number 65
_space_group_name_Hall '-C 2 2'
_cell_length_a 3.164
_cell_length_b 5.775
_cell_length_c 9.238
_cell_angle_alpha 90.00
_cell_angle_beta 90.00
_cell_angle_gamma 90.00
loop_
_atom_site_label
_atom_site_type_symbol
_atom_site_fract_x
_atom_site_fract_y
_atom_site_fract_z
Zr1 Zr 0.000 0.000 0.000
Ir1 Ir 0.000 0.000 0.500
Br1 Br 0.000 0.500 0.244
# Electronic total energy: -4.7075 eV per atom
# Total magnetization: 0.68 μB/f.u.
# ΔE to the lowest computed polymorph: 1020 meV/atom
# Formation energy (no corrections): 481 meV/atom


# Ce2HoIr PBE relaxed
data_Ce2HoIr
_space_group_name_H-M_alt 'R 3 m'
_space_group_IT_number 160
_space_group_name_Hall 'R 3 -2"'
_cell_length_a 3.8948
_cell_length_b 3.8948
_cell_length_c 26.6886
_cell_angle_alpha 90.00
_cell_angle_beta 90.00
_cell_angle_gamma 120.00
loop_
_atom_site_label
_atom_site_type_symbol
_atom_site_fract_x
_atom_site_fract_y
_atom_site_fract_z
Ce1 Ce 0.0000 0.0000 0.0000
Ce2 Ce 0.0000 0.0000 0.2089
Ho1 Ho 0.0000 0.0000 0.7710
Ir1 Ir 0.0000 0.0000 0.6045
# Electronic total energy: -6.5918 eV per atom
# Total magnetization: 0.03 μB/f.u.
# ΔE_f: -0.265 eV/atom
# ΔE to the lowest computed polymorph: 173 meV/atom


# LiPa2Tc PBE relaxed
data_LiPa2Tc
_space_group_name_H-M_alt 'P 4/m m m'
_space_group_IT_number 123
_space_group_name_Hall '-P 4 2'
_cell_length_a 3.166
_cell_length_b 3.166
_cell_length_c 9.039
_cell_angle_alpha 90.00
_cell_angle_beta 90.00
_cell_angle_gamma 90.00
loop_
_atom_site_label
_atom_site_type_symbol
_atom_site_fract_x
_atom_site_fract_y
_atom_site_fract_z
Li1 Li 0.000 0.000 0.000
Pa1 Pa 0.500 0.500 0.294
Tc1 Tc 0.000 0.000 0.500
# Electronic total energy: -7.7029 eV per atom
# Total magnetization: 0.00 μB/f.u.
# ΔE_f: 0.115 eV/atom
# ΔE to the lowest computed polymorph: 0 meV/atom


# ZrAl2Pb PBE relaxed
data_ZrAl2Pb
_space_group_name_H-M_alt 'C 1 2/m 1'
_space_group_IT_number 12
_cell_length_a 10.434
_cell_length_b 3.234
_cell_length_c 5.212
_cell_angle_alpha 90.00
_cell_angle_beta 102.64
_cell_angle_gamma 90.00
loop_
_space_group_symop_operation_xyz
'x,y,z'
'-x,-y,-z'
'-x,y,-z'
'x,-y,z'
'x+1/2,y+1/2,z'
'-x+1/2,-y+1/2,-z'
'-x+1/2,y+1/2,-z'
'x+1/2,-y+1/2,z'
loop_
_atom_site_label
_atom_site_type_symbol
_atom_site_fract_x
_atom_site_fract_y
_atom_site_fract_z
Zr1 Zr 0.000 0.000 0.000
Al1 Al 0.243 0.500 0.214
Pb1 Pb 0.000 0.500 0.500
# Electronic total energy: -4.9573 eV per atom
# Total magnetization: 0.00 μB/f.u.
# ΔE_f: -0.022 eV/atom